Nd2Sc2CI5 | PBE-GGA | relaxed

Summary:
magnetization: 0.341 Bohr magnetons per cell
crystal system: monoclinic
total energy: -5.0043 eV/atom

Cell lengths 10.5791, 10.5791, 8.8237 Å; angles 101.74, 101.74, 21.49 degrees
Last column: nearest neighbours and their distance in Å.
Fractional coordinates of all 10 atoms:
Nd1 0.0000 0.0000 0.1953  2 C 2.62
Nd2 0.0000 0.0000 0.8047  2 C 2.62
Sc1 0.3894 0.3894 0.9458  1 C 2.25
Sc2 0.6106 0.6106 0.0542  1 C 2.25
C1 0.5000 0.5000 0.0000  2 Sc 2.25
I1 0.1560 0.1560 0.3044  2 Sc 2.96, 1 Nd 3.19
I2 0.1562 0.1562 0.8480  2 Sc 2.97, 1 Nd 3.19
I3 0.5000 0.5000 0.5000  4 Nd 3.33
I4 0.8438 0.8438 0.1520  2 Sc 2.97, 1 Nd 3.19
I5 0.8440 0.8440 0.6956  2 Sc 2.96, 1 Nd 3.19